Computed, not measured: a relaxed SrThUO6 crystal at the GGA-PBE level of DFT.

Lattice parameters (Å, degrees): 5.973 5.973 9.594 90.00 90.00 120.00
Fractional positions:
Sr 0.333 0.667 0.250
Sr 0.667 0.333 0.750
Th 0.000 0.000 0.000
Th 0.000 0.000 0.500
U 0.333 0.667 0.750
U 0.667 0.333 0.250
O 0.053 0.359 0.630
O 0.053 0.694 0.870
O 0.306 0.359 0.870
O 0.306 0.947 0.630
O 0.359 0.053 0.130
O 0.359 0.306 0.370
O 0.641 0.694 0.630
O 0.641 0.947 0.870
O 0.694 0.053 0.370
O 0.694 0.641 0.130
O 0.947 0.306 0.130
O 0.947 0.641 0.370

Summary:
As for the total energy: -159.23 eV per cell. Its spin magnetization is 0.0 Bohr magnetons per cell. Its raw formation energy is -3.28 eV per atom. The symmetry is P-31c.